[1]
PdRu2PtF | PBE-GGA | relaxed

V = 77.7 Å³/cell
DFT total energy = -27.12 eV/cell
formation energy from raw total energies = 437 kJ/mol of formula units

Unit cell a=4.0978 b=4.6273 c=4.0978 alpha=90.00 beta=90.00 gamma=90.00
Last column: nearest neighbours and their distance in Å.
Sites, in units of the cell vectors:
Ru (0.0000, 0.0000, 0.5000)  2 F 2.05
Ru (0.5000, 0.0000, 0.0000)  2 F 2.05
Pd (0.5000, 0.5000, 0.5000)  4 Pt 2.90, 8 Ru 3.09
Pt (0.0000, 0.5000, 0.0000)  2 F 2.31
F (0.0000, 0.0000, 0.0000)  4 Ru 2.05


[2]
La4Th | PBE-GGA | relaxed

V = 177.8 Å³/cell
ΔH_f (0 K) = 0.02 eV per atom
DFT total energy = -27.03 eV/cell

Unit cell a=3.6756 b=3.6756 c=15.3429 alpha=83.12 beta=83.12 gamma=60.00
Last column: nearest neighbours and their distance in Å.
Sites, in units of the cell vectors:
La (0.1996, 0.1996, 0.4012)  12 La 3.68-3.85
La (0.6033, 0.6033, 0.1900)  3 Th 3.58, 9 La 3.68-3.85
La (0.3967, 0.3967, 0.8100)  3 Th 3.58, 9 La 3.68-3.85
La (0.8004, 0.8004, 0.5988)  12 La 3.68-3.85
Th (0.0000, 0.0000, 0.0000)  6 La 3.58, 6 Th 3.68


[3]
La2AgGeH | PBE-GGA | relaxed

V = 108.8 Å³/cell
DFT total energy = -23.09 eV/cell

Unit cell a=5.0842 b=5.0842 c=4.2097 alpha=90.00 beta=90.00 gamma=90.00
Last column: nearest neighbours and their distance in Å.
Sites, in units of the cell vectors:
Ag (0.0000, 0.0000, 0.5000)  2 H 2.10
La (0.5000, 0.0000, 0.0000)  2 H 2.54
La (0.0000, 0.5000, 0.0000)  2 H 2.54
H (0.0000, 0.0000, 0.0000)  2 Ag 2.10
Ge (0.5000, 0.5000, 0.5000)  8 La 3.30, 4 Ag 3.60


[4]
K3Ce2DyO6 | PBE-GGA | relaxed

V = 211.0 Å³/cell
DFT total energy = -81.18 eV/cell
formation energy from raw total energies = -3055 kJ/mol of formula units

Unit cell a=6.2283 b=6.2283 c=6.6140 alpha=99.03 beta=99.03 gamma=120.00
Last column: nearest neighbours and their distance in Å.
Sites, in units of the cell vectors:
Ce (0.3333, 0.6667, 0.0000)  6 O 2.41
Ce (0.6667, 0.3333, 0.0000)  6 O 2.41
O (0.0627, 0.3871, 0.1881)  1 Dy 2.34, 2 Ce 2.41
O (0.2618, 0.2618, 0.8121)  1 Dy 2.34, 2 Ce 2.41
O (0.6129, 0.9373, 0.8119)  1 Dy 2.34, 2 Ce 2.41
O (0.7382, 0.7382, 0.1879)  1 Dy 2.34, 2 Ce 2.41
O (0.3871, 0.0627, 0.1881)  1 Dy 2.34, 2 Ce 2.41
O (0.9373, 0.6129, 0.8119)  1 Dy 2.34, 2 Ce 2.41
K (0.1654, 0.8346, 0.5000)  6 O 2.83-2.90
K (0.8346, 0.1654, 0.5000)  6 O 2.83-2.90
K (0.5000, 0.5000, 0.5000)  6 O 2.83-2.90
Dy (0.0000, 0.0000, 0.0000)  6 O 2.34


> Which value of V does entry 4 give?

211.0 Å³/cell


> Look up the V of the first one.

77.7 Å³/cell


> The lowest DFT total energy belongs to which entry?

K3Ce2DyO6


What did the fourth record say?
K3Ce2DyO6 | PBE-GGA | relaxed

V = 211.0 Å³/cell
DFT total energy = -81.18 eV/cell
formation energy from raw total energies = -3055 kJ/mol of formula units

Unit cell a=6.2283 b=6.2283 c=6.6140 alpha=99.03 beta=99.03 gamma=120.00
Last column: nearest neighbours and their distance in Å.
Sites, in units of the cell vectors:
Ce (0.3333, 0.6667, 0.0000)  6 O 2.41
Ce (0.6667, 0.3333, 0.0000)  6 O 2.41
O (0.0627, 0.3871, 0.1881)  1 Dy 2.34, 2 Ce 2.41
O (0.2618, 0.2618, 0.8121)  1 Dy 2.34, 2 Ce 2.41
O (0.6129, 0.9373, 0.8119)  1 Dy 2.34, 2 Ce 2.41
O (0.7382, 0.7382, 0.1879)  1 Dy 2.34, 2 Ce 2.41
O (0.3871, 0.0627, 0.1881)  1 Dy 2.34, 2 Ce 2.41
O (0.9373, 0.6129, 0.8119)  1 Dy 2.34, 2 Ce 2.41
K (0.1654, 0.8346, 0.5000)  6 O 2.83-2.90
K (0.8346, 0.1654, 0.5000)  6 O 2.83-2.90
K (0.5000, 0.5000, 0.5000)  6 O 2.83-2.90
Dy (0.0000, 0.0000, 0.0000)  6 O 2.34